Record 1
Computed, not measured: a geometry-optimized Ce2ErPa structure at the PBE level of DFT.

As for the formation energy: 275.7 kJ/mol of formula units. Its calculated total energy is -5.767 eV per atom. The crystal system is trigonal. The value obtained for the density of states at the Fermi level is 2.62 states/eV per atom. The energy relative to the lowest polymorph listed for this composition is 635.3 meV/atom.

It has space group R-3m (No. 166, hexagonal axes), with a = 3.7997 Å, b = 3.7997 Å, c = 29.2527 Å, α = 90.00°, β = 90.00° and γ = 120.00°. Symmetry generates all atoms from Ce at (0.0000, 0.0000, 0.1109), Er at (0.0000, 0.0000, 0.0000) and Pa at (0.0000, 0.0000, 0.5000).


Record 2
Computed, not measured: a geometry-optimized PuHfBe17 structure at the PBE level of DFT.

As for the formation energy: -228.5 kJ/mol of formula units. Its calculated total energy is -4.737 eV per atom. The crystal system is trigonal. The value obtained for the density of states at the Fermi level is 0.53 states/eV per atom.

It has space group R3m (No. 160, hexagonal axes), with a = 7.5939 Å, b = 7.5939 Å, c = 11.0974 Å, α = 90.00°, β = 90.00° and γ = 120.00°. Symmetry generates all atoms from Pu at (0.0000, 0.0000, 0.0000), Hf at (0.0000, 0.0000, 0.3235), Be at (0.0000, 0.0000, 0.5627), Be at (0.0000, 0.0000, 0.7554), Be at (0.0002, 0.5001, 0.5031), Be at (0.0027, 0.5013, 0.1591), Be at (0.0502, 0.3823, 0.3272) and Be at (0.1675, 0.3350, 0.1527).